1.
## La15PmTl4 (PBE)

Data for La15PmTl4 after structural relaxation.

abc: 5.084 5.084 25.780
angles: 90.00 90.00 90.00
Atoms (fractional coordinates):
La 0.000 0.500 0.303
La 0.500 0.000 0.104
Tl 0.000 0.000 0.204
La 0.500 0.000 0.697
La 0.000 0.500 0.896
Tl 0.000 0.000 0.598
Tl 0.000 0.000 0.796
La 0.500 0.500 0.795
La 0.000 0.500 0.697
La 0.000 0.500 0.104
La 0.500 0.000 0.303
La 0.500 0.500 0.599
La 0.500 0.500 0.000
Tl 0.000 0.000 0.402
Pm 0.000 0.000 0.000
La 0.000 0.500 0.500
La 0.500 0.000 0.896
La 0.500 0.500 0.205
La 0.500 0.500 0.401
La 0.500 0.000 0.500

symmetry = P4/mmm, No. 123
final energy = -4.591 eV per atom
E_form = -0.18 eV/atom

***

2.
## Pr2Np3S8 (PBE)

Data for Pr2Np3S8 after structural relaxation.

abc: 4.747 9.523 8.340
angles: 124.81 90.00 90.00
Atoms (fractional coordinates):
Np 0.500 0.000 0.000
S 0.000 0.620 0.240
Np 0.000 0.268 0.000
S 0.500 0.882 0.237
S 0.000 0.380 0.760
S 0.000 0.113 0.225
S 0.500 0.645 0.763
S 0.000 0.887 0.775
Pr 0.500 0.270 0.540
S 0.500 0.355 0.237
Pr 0.500 0.730 0.460
Np 0.000 0.732 0.000
S 0.500 0.118 0.763

relative energy among the computed polymorphs = 0 meV per atom
symmetry = Cmmm, No. 65
final energy = -7.803 eV per atom
formation energy (no corrections) = -1.54 eV per atom

***

3.
## SrBi3As (PBE)

Data for SrBi3As after structural relaxation.

abc: 5.656 5.656 5.656
angles: 90.00 90.00 90.00
Atoms (fractional coordinates):
Sr 0.500 0.500 0.500
As 0.000 0.000 0.000
Bi 0.000 0.500 0.000
Bi 0.000 0.000 0.500
Bi 0.500 0.000 0.000

relative energy among the computed polymorphs = 0 meV per atom
symmetry = Pm-3m, No. 221
final energy = -3.566 eV per atom
E_form = 0.03 eV/atom

***

4.
## MnHgS2 (PBE)

Data for MnHgS2 after structural relaxation.

abc: 4.489 4.489 4.489
angles: 60.00 60.00 60.00
Atoms (fractional coordinates):
S 0.250 0.250 0.250
S 0.750 0.750 0.750
Mn 0.000 0.000 0.000
Hg 0.500 0.500 0.500

relative energy among the computed polymorphs = 1097 meV per atom
symmetry = Fm-3m, No. 225
final energy = -3.745 eV per atom
formation energy (no corrections) = 0.69 eV per atom

***

5.
## Zr2TiRh (PBE)

Data for Zr2TiRh after structural relaxation.

abc: 7.544 7.544 6.052
angles: 51.45 51.45 90.00
Atoms (fractional coordinates):
Rh 0.750 0.250 0.500
Zr 0.875 0.909 0.750
Zr 0.659 0.125 0.250
Ti 0.500 0.500 0.000
Zr 0.375 0.341 0.750
Ti 0.250 0.750 0.500
Zr 0.091 0.625 0.250
Rh 0.000 0.000 0.000

symmetry = I-42d, No. 122
final energy = -8.093 eV per atom
E_form = -0.01 eV/atom

***

6.
## Cd2In2Te (PBE)

Data for Cd2In2Te after structural relaxation.

abc: 4.134 4.134 9.068
angles: 76.83 76.83 90.00
Atoms (fractional coordinates):
Te 0.000 0.000 0.000
Cd 0.750 0.250 0.500
In 0.405 0.405 0.190
In 0.595 0.595 0.810
Cd 0.250 0.750 0.500

relative energy among the computed polymorphs = 5 meV per atom
symmetry = I4/mmm, No. 139
final energy = -2.088 eV per atom
formation energy (no corrections) = 0.00 eV per atom

***

7.
## ZrHg2Os (PBE)

Data for ZrHg2Os after structural relaxation.

abc: 5.292 5.292 4.747
angles: 75.88 75.88 37.13
Atoms (fractional coordinates):
Hg 0.007 0.007 0.990
Os 0.750 0.750 0.750
Zr 0.250 0.250 0.250
Hg 0.493 0.493 0.510

relative energy among the computed polymorphs = 138 meV per atom
symmetry = C2/m, No. 12
final energy = -4.875 eV per atom
E_form = 0.22 eV/atom

***

8.
## Cs2SrI3Cl (PBE)

Data for Cs2SrI3Cl after structural relaxation.

abc: 5.680 6.434 10.874
angles: 107.21 105.14 90.00
Atoms (fractional coordinates):
I 0.000 0.500 0.000
Cs 0.357 0.357 0.715
I 0.835 0.835 0.670
Cl 0.500 0.000 0.000
Cs 0.643 0.643 0.285
Sr 0.000 0.000 0.000
I 0.165 0.165 0.330

symmetry = Immm, No. 71
final energy = -3.185 eV per atom
formation energy (no corrections) = -1.77 eV per atom